1.
DFT (PBE) results for a relaxed structure of K3Na2SbO6.

The structure in POSCAR format:
```
K3Na2SbO6
1.0
6.071 0.015 -0.002
-3.021 5.266 -0.002
-1.020 -1.765 6.034
K Na Sb O
3 2 1 6
Direct
0.178 0.822 0.500
0.822 0.178 0.500
0.500 0.500 0.500
0.333 0.667 0.000
0.667 0.333 0.000
0.000 0.000 0.000
0.937 0.661 0.810
0.792 0.792 0.192
0.063 0.339 0.190
0.661 0.937 0.810
0.208 0.208 0.808
0.339 0.063 0.190
```

Calculated values
- Total energy: -4.650 eV per atom
- Formation energy (no corrections): -1.33 eV per atom

=====

2.
DFT (PBE) results for a relaxed structure of Sr4ErIn5.

The structure in POSCAR format:
```
Sr4ErIn5
1.0
-1.408 0.893 3.616
-3.043 -2.505 -0.567
10.887 -15.028 7.950
Sr Er In
4 1 5
Direct
0.000 0.000 0.191
0.000 0.000 0.397
0.000 0.000 0.603
0.000 0.000 0.809
0.000 0.000 0.000
0.500 0.500 0.084
0.500 0.500 0.295
0.500 0.500 0.500
0.500 0.500 0.705
0.500 0.500 0.916
```

Calculated values
- Total energy: -2.922 eV per atom
- ΔH_f (0 K): -423 meV/atom

=====

3.
DFT (PBE) results for a relaxed structure of Tb3AgSe4.

The structure in POSCAR format:
```
Tb3AgSe4
1.0
-3.782 1.603 0.431
-2.481 -1.344 3.016
2.772 9.360 9.281
Tb Ag Se
3 1 4
Direct
0.750 0.750 0.751
0.500 0.500 0.500
0.250 0.250 0.249
0.000 0.000 0.000
0.624 0.624 0.127
0.875 0.875 0.374
0.376 0.376 0.873
0.125 0.125 0.626
```

Calculated values
- Total energy: -5.302 eV per atom
- Formation energy (no corrections): -1.47 eV per atom

=====

4.
DFT (PBE) results for a relaxed structure of TmMnN2.

The structure in POSCAR format:
```
TmMnN2
1.0
-2.788 1.389 -0.183
-2.053 -0.902 -2.170
-3.601 -3.384 2.570
Tm Mn N
1 1 2
Direct
0.670 0.670 0.990
0.494 0.494 0.518
0.093 0.093 0.722
0.243 0.243 0.270
```

Calculated values
- Total energy: -8.165 eV per atom
- Formation energy (no corrections): -0.59 eV per atom

=====

5.
DFT (PBE) results for a relaxed structure of PrNdMgCu.

The structure in POSCAR format:
```
PrNdMgCu
1.0
-1.882 4.956 0.393
-2.409 2.266 -4.162
-5.247 0.851 0.104
Pr Mg Nd Cu
1 1 1 1
Direct
0.000 0.000 0.000
0.250 0.250 0.250
0.500 0.500 0.500
0.750 0.750 0.750
```

Calculated values
- Total energy: -3.843 eV per atom
- ΔH_f (0 K): -33 meV/atom

=====

6.
DFT (PBE) results for a relaxed structure of SmZrIn4.

The structure in POSCAR format:
```
SmZrIn4
1.0
-2.851 -0.539 5.150
-1.866 -5.311 1.804
2.635 -2.662 4.573
Zr Sm In
1 1 4
Direct
0.000 0.000 0.000
0.250 0.250 0.250
0.625 0.625 0.124
0.625 0.124 0.625
0.625 0.625 0.625
0.124 0.625 0.625
```

Calculated values
- Total energy: -4.238 eV per atom
- ΔH_f (0 K): -201 meV/atom

=====

7.
DFT (PBE) results for a relaxed structure of CeY3S4.

The structure in POSCAR format:
```
CeY3S4
1.0
3.927 0.000 0.000
0.000 6.478 -2.207
0.000 -0.053 6.843
Y S Ce
3 4 1
Direct
0.000 0.000 0.500
0.500 0.500 0.500
0.000 0.500 0.000
0.000 0.257 0.257
0.500 0.747 0.253
0.000 0.743 0.743
0.500 0.253 0.747
0.500 0.000 0.000
```

Calculated values
- Total energy: -7.243 eV per atom
- Formation energy (no corrections): -2.01 eV per atom

=====

8.
DFT (PBE) results for a relaxed structure of La2GaHgBr.

The structure in POSCAR format:
```
La2GaHgBr
1.0
-0.412 -5.940 -0.292
4.756 -0.262 -1.374
1.631 -0.394 5.720
Ga Hg Br La
1 1 1 2
Direct
0.000 0.000 0.000
0.000 0.500 0.000
0.500 0.500 0.500
0.000 0.000 0.500
0.500 0.000 0.000
```

Calculated values
- Total energy: -3.283 eV per atom
- Formation energy (no corrections): -0.31 eV per atom

=====

9.
DFT (PBE) results for a relaxed structure of Zr2CdIn2.

The structure in POSCAR format:
```
Zr2CdIn2
1.0
4.937 0.000 -1.358
0.000 3.195 0.000
-0.592 0.000 7.506
Zr Cd In
2 1 2
Direct
0.385 0.000 0.769
0.615 0.000 0.231
0.000 0.000 0.000
0.189 0.500 0.378
0.811 0.500 0.622
```

Calculated values
- Total energy: -4.697 eV per atom
- ΔH_f (0 K): 0 meV/atom

=====

10.
DFT (PBE) results for a relaxed structure of Ta2FeW.

The structure in POSCAR format:
```
Ta2FeW
1.0
-5.025 4.786 -1.277
-3.903 -4.946 -3.177
-5.628 -0.674 0.129
Fe W Ta
2 2 4
Direct
0.500 0.500 0.000
0.250 0.750 0.500
0.000 0.000 0.000
0.750 0.250 0.500
0.596 0.125 0.250
0.154 0.625 0.250
0.375 0.404 0.750
0.875 0.846 0.750
```

Calculated values
- Total energy: -10.630 eV per atom
- ΔH_f (0 K): 650 meV/atom

=====

11.
DFT (PBE) results for a relaxed structure of Li2ScSn3Se6.

The structure in POSCAR format:
```
Li2ScSn3Se6
1.0
-6.248 -3.000 -1.263
5.848 -2.680 -2.873
0.950 -2.070 6.730
Li Sc Sn Se
2 1 3 6
Direct
0.330 0.670 0.000
0.670 0.330 0.000
0.000 0.000 0.000
0.165 0.835 0.500
0.835 0.165 0.500
0.500 0.500 0.500
0.922 0.603 0.776
0.757 0.757 0.237
0.078 0.397 0.224
0.603 0.922 0.776
0.243 0.243 0.763
0.397 0.078 0.224
```

Calculated values
- Total energy: -4.463 eV per atom
- Formation energy (no corrections): -0.87 eV per atom

=====

12.
DFT (PBE) results for a relaxed structure of Cu2Pd5Au3.

The structure in POSCAR format:
```
Cu2Pd5Au3
1.0
3.546 -0.167 1.714
2.064 4.370 0.673
1.182 -4.255 10.739
Cu Pd Au
2 5 3
Direct
0.494 0.105 0.302
0.506 0.895 0.698
0.000 0.000 0.000
0.005 0.198 0.598
0.995 0.802 0.402
0.989 0.408 0.205
0.011 0.592 0.795
0.500 0.500 0.500
0.482 0.715 0.107
0.518 0.285 0.893
```

Calculated values
- Total energy: -4.475 eV per atom
- ΔH_f (0 K): -76 meV/atom